No. 1
DFT (PBE) results for an optimized crystal structure of Ho3Zn2Ni.

Lattice parameters (Å, degrees): 4.922 4.922 6.050 90.00 90.00 120.00
Element x y z (fractional)
Ho (0.000, 0.000, 0.500)
Ho (0.667, 0.333, 0.847)
Ho (0.333, 0.667, 0.153)
Zn (0.667, 0.333, 0.349)
Zn (0.333, 0.667, 0.651)
Ni (0.000, 0.000, 0.000)

**Energy above the lowest structure with this stoichiometry**: 12 meV/atom
**Symmetry**: No. 164
**Mass density**: 9.0 g/cm3
**Spin magnetization**: 0.00 μB/atom
**Energy relative to the elements**: -0.36 eV per atom
**Total DFT energy (no corrections)**: -4.042 eV per atom
**DOS(E_F)**: 3.8 states/eV per cell

No. 2
DFT (PBE) results for an optimized crystal structure of TaCdTeF2.

Lattice parameters (Å, degrees): 4.120 6.052 4.120 90.00 90.00 90.00
Each line ends with the local moment (μB).
Element x y z (fractional)
Cd (0.000, 0.500, 0.000)  0.01
F (0.000, 0.000, 0.500)  0.00
F (0.500, 0.000, 0.000)  -0.01
Te (0.500, 0.500, 0.500)  -0.01
Ta (0.000, 0.000, 0.000)  1.00

**Symmetry**: No. 123
**Mass density**: 7.4 g/cm3
**Formation energy without anion corrections**: -1.10 eV/atom
**Spin magnetization**: 0.26 μB/atom
**Total DFT energy (no corrections)**: -5.035 eV per atom
**DOS(E_F)**: 3.0 states/eV per cell